(1)
# GGA-PBE LaRe2Si, optimized geometry
# Spin magnetization ... 0.00 μB/f.u.
# Uncorrected formation energy ... 0.349 eV per atom
data_LaRe2Si
_cell_length_a 4.721
_cell_length_b 4.721
_cell_length_c 17.027
_cell_angle_alpha 90.00
_cell_angle_beta 90.00
_cell_angle_gamma 90.00
_space_group_name_H-M_alt 'I -4 2 d'
_space_group_IT_number 122
_space_group_name_Hall 'I -4 2bw'
loop_
_atom_site_label
_atom_site_type_symbol
_atom_site_fract_x
_atom_site_fract_y
_atom_site_fract_z
_atom_site_occupancy
La1 La 0.000 0.000 0.000 1
Re1 Re 0.059 0.250 0.625 1
Si1 Si 0.000 0.000 0.500 1



(2)
# GGA-PBE LaReSi3, optimized geometry
# Spin magnetization ... 0.00 μB/f.u.
# Uncorrected formation energy ... -0.461 eV per atom
# ΔE to the lowest computed polymorph ... 0.000 eV/f.u.
data_LaReSi3
_cell_length_a 4.333
_cell_length_b 4.333
_cell_length_c 10.103
_cell_angle_alpha 90.00
_cell_angle_beta 90.00
_cell_angle_gamma 90.00
_space_group_name_H-M_alt 'I 4 m m'
_space_group_IT_number 107
_space_group_name_Hall 'I 4 -2'
loop_
_atom_site_label
_atom_site_type_symbol
_atom_site_fract_x
_atom_site_fract_y
_atom_site_fract_z
_atom_site_occupancy
La1 La 0.000 0.000 0.000 1
Re1 Re 0.000 0.000 0.657 1
Si1 Si 0.000 0.000 0.422 1
Si2 Si 0.000 0.500 0.262 1



(3)
# GGA-PBE LaRe2Si, optimized geometry
# Spin magnetization ... 0.01 μB/f.u.
# Uncorrected formation energy ... 0.409 eV per atom
data_LaRe2Si
_cell_length_a 2.743
_cell_length_b 5.211
_cell_length_c 10.074
_cell_angle_alpha 90.00
_cell_angle_beta 90.00
_cell_angle_gamma 90.00
_space_group_name_H-M_alt 'I m m m'
_space_group_IT_number 71
_space_group_name_Hall '-I 2 2'
loop_
_atom_site_label
_atom_site_type_symbol
_atom_site_fract_x
_atom_site_fract_y
_atom_site_fract_z
_atom_site_occupancy
La1 La 0.000 0.000 0.000 1
Re1 Re 0.000 0.500 0.212 1
Si1 Si 0.000 0.000 0.500 1



(4)
# GGA-PBE LaRe3Si, optimized geometry
# Spin magnetization ... 2.24 μB/f.u.
# Uncorrected formation energy ... 0.768 eV per atom
# ΔE to the lowest computed polymorph ... 0.000 eV/f.u.
data_LaRe3Si
_cell_length_a 4.600
_cell_length_b 4.600
_cell_length_c 4.600
_cell_angle_alpha 90.00
_cell_angle_beta 90.00
_cell_angle_gamma 90.00
_space_group_name_H-M_alt 'P m -3 m'
_space_group_IT_number 221
_space_group_name_Hall '-P 4 2 3'
loop_
_atom_site_label
_atom_site_type_symbol
_atom_site_fract_x
_atom_site_fract_y
_atom_site_fract_z
_atom_site_occupancy
La1 La 0.000 0.000 0.000 1
Re1 Re 0.000 0.500 0.500 1
Si1 Si 0.500 0.500 0.500 1



(5)
# GGA-PBE LaRe3Si, optimized geometry
# Spin magnetization ... 0.00 μB/f.u.
# Uncorrected formation energy ... 3.230 eV per atom
# ΔE to the lowest computed polymorph ... 12.312 eV/f.u.
data_LaRe3Si
_cell_length_a 4.837
_cell_length_b 4.837
_cell_length_c 4.837
_cell_angle_alpha 90.00
_cell_angle_beta 90.00
_cell_angle_gamma 90.00
_space_group_name_H-M_alt 'P m -3 m'
_space_group_IT_number 221
_space_group_name_Hall '-P 4 2 3'
loop_
_atom_site_label
_atom_site_type_symbol
_atom_site_fract_x
_atom_site_fract_y
_atom_site_fract_z
_atom_site_occupancy
La1 La 0.000 0.000 0.000 1
Re1 Re 0.000 0.000 0.500 1
Si1 Si 0.500 0.500 0.500 1



(6)
# GGA-PBE LaReSi2, optimized geometry
# Spin magnetization ... 0.00 μB/f.u.
# Uncorrected formation energy ... 0.360 eV per atom
data_LaReSi2
_cell_length_a 5.741
_cell_length_b 7.345
_cell_length_c 3.568
_cell_angle_alpha 90.00
_cell_angle_beta 90.00
_cell_angle_gamma 90.00
_space_group_name_H-M_alt 'C m m m'
_space_group_IT_number 65
_space_group_name_Hall '-C 2 2'
loop_
_atom_site_label
_atom_site_type_symbol
_atom_site_fract_x
_atom_site_fract_y
_atom_site_fract_z
_atom_site_occupancy
La1 La 0.000 0.000 0.000 1
Re1 Re 0.000 0.500 0.000 1
Si1 Si 0.250 0.250 0.500 1



(7)
# GGA-PBE LaRe2Si, optimized geometry
# Spin magnetization ... 0.43 μB/f.u.
# Uncorrected formation energy ... 0.468 eV per atom
data_LaRe2Si
_cell_length_a 2.9584
_cell_length_b 2.9584
_cell_length_c 27.8216
_cell_angle_alpha 90.00
_cell_angle_beta 90.00
_cell_angle_gamma 120.00
_space_group_name_H-M_alt 'R -3 m'
_space_group_IT_number 166
_space_group_name_Hall '-R 3 2"'
loop_
_atom_site_label
_atom_site_type_symbol
_atom_site_fract_x
_atom_site_fract_y
_atom_site_fract_z
_atom_site_occupancy
La1 La 0.0000 0.0000 0.0000 1
Re1 Re 0.0000 0.0000 0.2333 1
Si1 Si 0.0000 0.0000 0.5000 1



(8)
# GGA-PBE La3Re3Si8, optimized geometry
# Spin magnetization ... 0.00 μB/f.u.
# Uncorrected formation energy ... -0.350 eV per atom
data_La3Re3Si8
_cell_length_a 4.212
_cell_length_b 10.172
_cell_length_c 11.933
_cell_angle_alpha 90.00
_cell_angle_beta 90.00
_cell_angle_gamma 90.00
_space_group_name_H-M_alt 'I m m m'
_space_group_IT_number 71
_space_group_name_Hall '-I 2 2'
loop_
_atom_site_label
_atom_site_type_symbol
_atom_site_fract_x
_atom_site_fract_y
_atom_site_fract_z
_atom_site_occupancy
La1 La 0.000 0.000 0.000 1
La2 La 0.000 0.000 0.309 1
Re1 Re 0.000 0.215 0.500 1
Re2 Re 0.000 0.500 0.000 1
Si1 Si 0.000 0.290 0.120 1
Si2 Si 0.000 0.350 0.335 1



Which value of spin magnetization does entry 8 give?
0.00 μB/f.u.



Which value of uncorrected formation energy does entry 4 give?
0.768 eV per atom



What did the eighth record say?
# GGA-PBE La3Re3Si8, optimized geometry
# Spin magnetization ... 0.00 μB/f.u.
# Uncorrected formation energy ... -0.350 eV per atom
data_La3Re3Si8
_cell_length_a 4.212
_cell_length_b 10.172
_cell_length_c 11.933
_cell_angle_alpha 90.00
_cell_angle_beta 90.00
_cell_angle_gamma 90.00
_space_group_name_H-M_alt 'I m m m'
_space_group_IT_number 71
_space_group_name_Hall '-I 2 2'
loop_
_atom_site_label
_atom_site_type_symbol
_atom_site_fract_x
_atom_site_fract_y
_atom_site_fract_z
_atom_site_occupancy
La1 La 0.000 0.000 0.000 1
La2 La 0.000 0.000 0.309 1
Re1 Re 0.000 0.215 0.500 1
Re2 Re 0.000 0.500 0.000 1
Si1 Si 0.000 0.290 0.120 1
Si2 Si 0.000 0.350 0.335 1



What is the formula in the fifth record?
LaRe3Si